Entry a
The following is a PBE calculation of a relaxed structure of Ac5RuAu4, from the Alexandria database.

Calculated values
The total moment is 0.23 μB per cell.

a b c (Å): 3.8302 3.8302 19.7506
angles (deg): 90.00 90.00 90.00
Site moments in Bohr magnetons follow the coordinates.
Sites, in units of the cell vectors:
Ac1 0.5000 0.5000 0.0912  -0.01
Ac2 0.5000 0.5000 0.2967  0.00
Ac3 0.5000 0.5000 0.5000  0.00
Ac4 0.5000 0.5000 0.7033  0.00
Ac5 0.5000 0.5000 0.9088  -0.01
Ru1 0.0000 0.0000 0.0000  0.28
Au1 0.0000 0.0000 0.1979  0.00
Au2 0.0000 0.0000 0.3985  0.00
Au3 0.0000 0.0000 0.6015  0.00
Au4 0.0000 0.0000 0.8021  0.00

---

Entry b
The following is a PBE calculation of a relaxed structure of Ac5RuAu4, from the Alexandria database.

Calculated values
The total moment is 0.00 μB per cell.

a b c (Å): 6.3543 7.7931 7.7931
angles (deg): 80.43 65.94 65.94
Sites, in units of the cell vectors:
Ac1 0.9019 0.3741 0.8242
Ac2 0.2760 0.8242 0.6259
Ac3 0.7261 0.1758 0.3741
Ac4 0.1002 0.6259 0.1758
Ac5 0.5010 0.0000 0.0000
Ru1 0.0010 0.0000 0.0000
Au1 0.4120 0.3979 0.7802
Au2 0.8099 0.7802 0.6021
Au3 0.1922 0.2198 0.3979
Au4 0.5901 0.6021 0.2198

---

Relative calculated energies, zero for the most stable structure, unit meV per atom: entry a 67; entry b 0.

---

Entry a
The following is a PBE calculation of a relaxed structure of AcAuS2, from the Alexandria database.

Calculated values
The total moment is 0.00 μB per cell.

a b c (Å): 4.6674 4.6674 7.7506
angles (deg): 72.48 72.48 60.00
Sites, in units of the cell vectors:
Ac1 0.5000 0.5000 0.5000
Au1 0.0000 0.0000 0.0000
S1 0.1057 0.1057 0.6829
S2 0.8943 0.8943 0.3171

---

Entry b
The following is a PBE calculation of a relaxed structure of AcAuS2, from the Alexandria database.

Calculated values
The total moment is 0.00 μB per cell.

a b c (Å): 4.6382 8.1710 7.3542
angles (deg): 72.34 71.62 90.00
Sites, in units of the cell vectors:
Ac1 0.3265 0.1923 0.5315
Ac2 0.8264 0.6923 0.5317
Au1 0.3263 0.6923 0.0317
Au2 0.3264 0.1923 0.0315
S1 0.4281 0.5766 0.3310
S2 0.2245 0.8079 0.7324
S3 0.9253 0.0766 0.3308
S4 0.7275 0.3079 0.7322

---

Entry c
The following is a PBE calculation of a relaxed structure of AcAuS2, from the Alexandria database.

Calculated values
The total moment is 0.00 μB per cell.

a b c (Å): 8.1144 8.7039 7.8770
angles (deg): 120.03 90.00 90.00
Sites, in units of the cell vectors:
Ac1 0.1177 0.2642 0.0247
Ac2 0.3823 0.7642 0.5247
Ac3 0.8823 0.7358 0.9753
Ac4 0.6177 0.2358 0.4753
Au1 0.6006 0.1431 0.9326
Au2 0.1006 0.3569 0.5674
Au3 0.3994 0.8569 0.0674
Au4 0.8994 0.6431 0.4326
S1 0.3963 0.1700 0.7399
S2 0.1828 0.8728 0.8815
S3 0.8963 0.3300 0.7601
S4 0.6037 0.8300 0.2601
S5 0.8172 0.1272 0.1185
S6 0.6828 0.6272 0.6185
S7 0.3172 0.3728 0.3815
S8 0.1037 0.6700 0.2399

---

Relative calculated energies, zero for the most stable structure, unit meV per atom: entry a 50; entry b 45; entry c 0.

---

Entry a
The following is a PBE calculation of a relaxed structure of AcAuS, from the Alexandria database.

Calculated values
The total moment is 0.00 μB per cell.

a b c (Å): 4.0244 4.0244 5.5597
angles (deg): 111.22 111.22 90.00
Sites, in units of the cell vectors:
Ac1 0.6589 0.6589 0.3178
Au1 0.3294 0.3294 0.6588
S1 0.0117 0.0117 0.0234

---

Entry b
The following is a PBE calculation of a relaxed structure of AcAuS, from the Alexandria database.

Calculated values
The total moment is 0.00 μB per cell.

a b c (Å): 5.0912 5.0912 5.0912
angles (deg): 60.00 60.00 60.00
Sites, in units of the cell vectors:
Ac1 0.2500 0.2500 0.2500
Au1 0.0000 0.0000 0.0000
S1 0.5000 0.5000 0.5000

---

Relative calculated energies, zero for the most stable structure, unit meV per atom: entry a 74; entry b 0.

---

Entry a
The following is a PBE calculation of a relaxed structure of Ac2SbAu, from the Alexandria database.

Calculated values
The total moment is 0.55 μB per cell.

a b c (Å): 5.6648 5.6648 5.6648
angles (deg): 60.00 60.00 60.00
Site moments in Bohr magnetons follow the coordinates.
Sites, in units of the cell vectors:
Sb1 0.0000 0.0000 0.0000  -0.01
Ac1 0.2500 0.2500 0.2500  0.09
Ac2 0.7500 0.7500 0.7500  0.09
Au1 0.5000 0.5000 0.5000  0.02

---

Entry b
The following is a PBE calculation of a relaxed structure of Ac2SbAu, from the Alexandria database.

Calculated values
The total moment is 0.00 μB per cell.

a b c (Å): 4.8751 4.5005 13.0739
angles (deg): 99.91 90.00 90.00
Sites, in units of the cell vectors:
Ac1 0.7500 0.6819 0.3638
Ac2 0.2500 0.3181 0.6362
Ac3 0.7500 0.9396 0.8791
Ac4 0.2500 0.0604 0.1209
Sb1 0.2500 0.1879 0.3759
Sb2 0.7500 0.8121 0.6241
Au1 0.2500 0.4600 0.9200
Au2 0.7500 0.5400 0.0800

---

Entry c
The following is a PBE calculation of a relaxed structure of Ac2SbAu, from the Alexandria database.

Calculated values
The total moment is 0.00 μB per cell.

a b c (Å): 4.1486 5.5633 5.5633
angles (deg): 90.00 90.00 90.00
Sites, in units of the cell vectors:
Sb1 0.5000 0.5000 0.5000
Ac1 0.0000 0.0000 0.5000
Ac2 0.0000 0.5000 0.0000
Au1 0.5000 0.0000 0.0000

---

Entry d
The following is a PBE calculation of a relaxed structure of Ac2SbAu, from the Alexandria database.

Calculated values
The total moment is 0.00 μB per cell.

a b c (Å): 4.6151 4.6151 8.3390
angles (deg): 73.94 73.94 60.00
Sites, in units of the cell vectors:
Sb1 0.5000 0.5000 0.5000
Ac1 0.2537 0.2537 0.2390
Ac2 0.7463 0.7463 0.7610
Au1 0.0000 0.0000 0.0000

---

Relative calculated energies, zero for the most stable structure, unit meV per atom: entry a 136; entry b 0; entry c 69; entry d 28.

---

Entry a
The following is a PBE calculation of a relaxed structure of AcSb2Au4, from the Alexandria database.

Calculated values
The total moment is 0.00 μB per cell.

a b c (Å): 4.8228 7.7777 18.3806
angles (deg): 90.00 90.00 90.00
Sites, in units of the cell vectors:
Ac1 0.7500 0.9772 0.6532
Ac2 0.2500 0.0228 0.3468
Ac3 0.2500 0.4772 0.8468
Ac4 0.7500 0.5228 0.1532
Sb1 0.2500 0.7142 0.5116
Sb2 0.7500 0.2858 0.4884
Sb3 0.7500 0.2142 0.9884
Sb4 0.2500 0.7858 0.0116
Sb5 0.2500 0.9106 0.7851
Sb6 0.7500 0.0894 0.2149
Sb7 0.7500 0.4106 0.7149
Sb8 0.2500 0.5894 0.2851
Au1 0.2500 0.2823 0.6627
Au2 0.7500 0.7177 0.3373
Au3 0.7500 0.7823 0.8373
Au4 0.2500 0.2177 0.1627
Au5 0.2500 0.6697 0.6679
Au6 0.7500 0.3303 0.3321
Au7 0.7500 0.1697 0.8321
Au8 0.2500 0.8303 0.1679
Au9 0.2500 0.0805 0.5362
Au10 0.7500 0.9195 0.4638
Au11 0.7500 0.5805 0.9638
Au12 0.2500 0.4195 0.0362
Au13 0.2500 0.4036 0.4228
Au14 0.7500 0.5964 0.5772
Au15 0.7500 0.9036 0.0772
Au16 0.2500 0.0964 0.9228

---

Entry b
The following is a PBE calculation of a relaxed structure of AcSb2Au4, from the Alexandria database.

Calculated values
The total moment is 0.00 μB per cell.

a b c (Å): 6.5775 6.5775 6.5775
angles (deg): 103.41 103.41 122.43
Sites, in units of the cell vectors:
Ac1 0.0000 0.0000 0.0000
Sb1 0.2500 0.7500 0.5000
Sb2 0.7500 0.2500 0.5000
Au1 0.7333 0.5000 0.2333
Au2 0.5000 0.7333 0.2333
Au3 0.5000 0.2667 0.7667
Au4 0.2667 0.5000 0.7667

---

Relative calculated energies, zero for the most stable structure, unit meV per atom: entry a 0; entry b 289.

---

Entry a
The following is a PBE calculation of a relaxed structure of Ac3Sb4Au4, from the Alexandria database.

Calculated values
The total moment is 0.00 μB per cell.

a b c (Å): 4.6147 4.7825 14.6025
angles (deg): 80.52 80.41 90.01
Sites, in units of the cell vectors:
Ac1 0.1267 0.6434 0.7127
Ac2 0.8734 0.3566 0.2873
Ac3 0.0000 0.0000 0.0000
Sb1 0.5707 0.0971 0.8072
Sb2 0.2511 0.2513 0.4977
Sb3 0.7489 0.7487 0.5023
Sb4 0.4293 0.9029 0.1928
Au1 0.6277 0.5474 0.9062
Au2 0.3723 0.4526 0.0938
Au3 0.3100 0.8097 0.3820
Au4 0.6901 0.1903 0.6180

---

Entry b
The following is a PBE calculation of a relaxed structure of Ac3Sb4Au4, from the Alexandria database.

Calculated values
The total moment is 0.00 μB per cell.

a b c (Å): 4.7250 4.5222 14.9588
angles (deg): 98.69 99.09 90.00
Sites, in units of the cell vectors:
Ac1 0.3496 0.8496 0.6992
Ac2 0.6504 0.1504 0.3008
Ac3 0.0000 0.0000 0.0000
Sb1 0.8053 0.3053 0.6106
Sb2 0.4443 0.4443 0.8885
Sb3 0.5557 0.5557 0.1115
Sb4 0.1947 0.6947 0.3894
Au1 0.2547 0.2547 0.5095
Au2 0.1015 0.6015 0.2031
Au3 0.8985 0.3985 0.7969
Au4 0.7453 0.7453 0.4905

---

Relative calculated energies, zero for the most stable structure, unit meV per atom: entry a 0; entry b 15.

---

Entry a
The following is a PBE calculation of a relaxed structure of AcSbAu4, from the Alexandria database.

Calculated values
The total moment is 0.00 μB per cell.

a b c (Å): 5.8014 5.8014 5.8014
angles (deg): 60.00 60.00 60.00
Sites, in units of the cell vectors:
Sb1 0.2500 0.2500 0.2500
Ac1 0.0000 0.0000 0.0000
Au1 0.6247 0.6247 0.1258
Au2 0.6247 0.1258 0.6247
Au3 0.6247 0.6247 0.6247
Au4 0.1258 0.6247 0.6247

---

Entry b
The following is a PBE calculation of a relaxed structure of AcSbAu4, from the Alexandria database.

Calculated values
The total moment is 0.00 μB per cell.

a b c (Å): 4.1615 7.8781 18.3489
angles (deg): 90.00 90.00 90.00
Sites, in units of the cell vectors:
Ac1 0.0000 0.7028 0.3295
Ac2 0.0000 0.2972 0.6705
Ac3 0.0000 0.2028 0.1705
Ac4 0.0000 0.7972 0.8295
Sb1 0.0000 0.7268 0.0885
Sb2 0.0000 0.2732 0.9115
Sb3 0.0000 0.2268 0.4115
Sb4 0.0000 0.7732 0.5885
Au1 0.5000 0.8652 0.2126
Au2 0.5000 0.1348 0.7874
Au3 0.5000 0.3652 0.2874
Au4 0.5000 0.6348 0.7126
Au5 0.5000 0.9952 0.0731
Au6 0.5000 0.0048 0.9269
Au7 0.5000 0.4952 0.4269
Au8 0.5000 0.5048 0.5731
Au9 0.5000 0.8339 0.4728
Au10 0.5000 0.1661 0.5272
Au11 0.5000 0.3339 0.0272
Au12 0.5000 0.6661 0.9728
Au13 0.5000 0.0292 0.3435
Au14 0.5000 0.9708 0.6565
Au15 0.5000 0.5292 0.1565
Au16 0.5000 0.4708 0.8435

---

Relative calculated energies, zero for the most stable structure, unit meV per atom: entry a 0; entry b 53.

---

Entry a
The following is a PBE calculation of a relaxed structure of AcSc2Au, from the Alexandria database.

Calculated values
The total moment is 2.19 μB per cell.

a b c (Å): 5.2010 5.2010 5.1963
angles (deg): 59.97 59.97 60.00
Site moments in Bohr magnetons follow the coordinates.
Sites, in units of the cell vectors:
Sc1 0.7502 0.7502 0.7493  0.49
Sc2 0.2498 0.2498 0.2507  0.49
Ac1 0.5000 0.5000 0.5000  0.36
Au1 0.0000 0.0000 0.0000  0.04

---

Entry b
The following is a PBE calculation of a relaxed structure of AcSc2Au, from the Alexandria database.

Calculated values
The total moment is 0.00 μB per cell.

a b c (Å): 3.7380 3.7380 9.7515
angles (deg): 78.95 78.95 60.00
Sites, in units of the cell vectors:
Ac1 0.5026 0.5026 0.4921
Sc1 0.0611 0.0611 0.8167
Sc2 0.2707 0.2707 0.1879
Au1 0.6656 0.6656 0.0032

---

Relative calculated energies, zero for the most stable structure, unit meV per atom: entry a 153; entry b 0.